# 1
Compound: Ge2SN
Source: the Alexandria database
Functional: GGA-PBE
Structure: relaxed

Structure (POSCAR):
```
Ge2SN
1.0
4.351 0.000 0.000
2.176 3.768 0.000
2.176 1.256 5.749
S Ge N
1 2 1
Direct
0.500 0.500 0.500
0.101 0.101 0.697
0.899 0.899 0.303
0.000 0.000 0.000
```

Properties
Its formation energy without anion corrections is 0.43 eV/atom. Its total magnetization is 0.0 μB/cell.

=====

# 2
Compound: GeS3N
Source: the Alexandria database
Functional: GGA-PBE
Structure: relaxed

Structure (POSCAR):
```
GeS3N
1.0
4.730 0.000 0.000
0.000 4.730 0.000
0.000 0.000 4.730
S N Ge
3 1 1
Direct
0.500 0.000 0.000
0.000 0.000 0.500
0.000 0.500 0.000
0.500 0.500 0.500
0.000 0.000 0.000
```

Properties
Its formation energy without anion corrections is 1.59 eV/atom. Its total magnetization is 2.2 μB/cell.

=====

# 3
Compound: Ge2SN
Source: the Alexandria database
Functional: GGA-PBE
Structure: relaxed

Structure (POSCAR):
```
Ge2SN
1.0
-0.674 -5.821 1.400
1.547 1.191 5.700
-3.171 -1.693 4.399
N Ge S
2 4 2
Direct
0.250 0.750 0.500
0.500 0.500 0.000
0.875 0.811 0.750
0.375 0.439 0.750
0.189 0.625 0.250
0.561 0.125 0.250
0.000 0.000 0.000
0.750 0.250 0.500
```

Properties
Its formation energy without anion corrections is 0.33 eV/atom. Its total magnetization is 0.0 μB/cell.

=====

| no. | distance to the lowest polymorph of the same formula (eV per formula unit) |
| --- | --- |
| 1 | 0.38 |
| 2 | 2.90 |
| 3 | 0.00 |